First-principles (PBE with a Hubbard U) data for an optimized crystal structure of VCoO4, as listed in Alexandria.

```
VCoO4
1.0
10.4916 0.0000 0.0000
0.0000 5.9463 0.0000
0.0000 0.0000 4.8811
V Co O
4 4 16
Direct
0.0943 0.2500 0.0836
0.4057 0.7500 0.5836
0.5943 0.2500 0.4164
0.9057 0.7500 0.9164
0.2203 0.7500 0.0574
0.2797 0.2500 0.5574
0.7203 0.7500 0.4426
0.7797 0.2500 0.9426
0.0694 0.7500 0.8571
0.1213 0.2500 0.7392
0.1763 0.0229 0.2405
0.1763 0.4771 0.2405
0.3237 0.5229 0.7405
0.3237 0.9771 0.7405
0.3787 0.7500 0.2392
0.4306 0.2500 0.3571
0.5694 0.7500 0.6429
0.6213 0.2500 0.7608
0.6763 0.0229 0.2595
0.6763 0.4771 0.2595
0.8237 0.5229 0.7595
0.8237 0.9771 0.7595
0.8787 0.7500 0.2608
0.9306 0.2500 0.1429
```

Results
- raw total energy (eV per atom) = -6.72
- space group = Pnma
- calculated volume (Å³ per cell) = 304.5
- Fermi-level density of states (states/eV/cell) = 0.94
- theoretical density (g/cm³) = 3.79